Entry 1:
# SiMo2Os | the Open Quantum Materials Database | PBE | relaxed
data_SiMo2Os
_chemical_formula_sum 'Si4 Mo8 Os4'
_cell_length_a 6.1474
_cell_length_b 6.1474
_cell_length_c 6.1474
_cell_angle_alpha 90.00
_cell_angle_beta 90.00
_cell_angle_gamma 90.00
_symmetry_space_group_name_H-M 'F -4 3 m'
_symmetry_Int_Tables_number 216
_symmetry_space_group_name_Hall 'F -4 2 3'
loop_
_atom_site_label
_atom_site_type_symbol
_atom_site_fract_x
_atom_site_fract_y
_atom_site_fract_z
Si1 Si 0.0000 0.0000 0.0000
Mo1 Mo 0.0000 0.0000 0.5000
Mo2 Mo 0.2500 0.2500 0.7500
Os1 Os 0.2500 0.2500 0.2500
# ρ	11.7	g cm⁻³
# total magnetic moment	0.002	μB per formula unit
# uncorrected energy	-9.62	eV per atom

=====

Entry 2:
# Si2MoOs | the Open Quantum Materials Database | PBE | relaxed
data_Si2MoOs
_chemical_formula_sum 'Si8 Mo4 Os4'
_cell_length_a 6.1369
_cell_length_b 6.1369
_cell_length_c 6.1369
_cell_angle_alpha 90.00
_cell_angle_beta 90.00
_cell_angle_gamma 90.00
_symmetry_space_group_name_H-M 'F -4 3 m'
_symmetry_Int_Tables_number 216
_symmetry_space_group_name_Hall 'F -4 2 3'
loop_
_atom_site_label
_atom_site_type_symbol
_atom_site_fract_x
_atom_site_fract_y
_atom_site_fract_z
Si1 Si 0.0000 0.0000 0.0000
Si2 Si 0.2500 0.2500 0.2500
Mo1 Mo 0.2500 0.2500 0.7500
Os1 Os 0.0000 0.0000 0.5000
# ρ	9.8	g cm⁻³
# total magnetic moment	0.015	μB per formula unit
# uncorrected energy	-8.02	eV per atom

=====

Please write out number 2 again, unchanged.
# Si2MoOs | the Open Quantum Materials Database | PBE | relaxed
data_Si2MoOs
_chemical_formula_sum 'Si8 Mo4 Os4'
_cell_length_a 6.1369
_cell_length_b 6.1369
_cell_length_c 6.1369
_cell_angle_alpha 90.00
_cell_angle_beta 90.00
_cell_angle_gamma 90.00
_symmetry_space_group_name_H-M 'F -4 3 m'
_symmetry_Int_Tables_number 216
_symmetry_space_group_name_Hall 'F -4 2 3'
loop_
_atom_site_label
_atom_site_type_symbol
_atom_site_fract_x
_atom_site_fract_y
_atom_site_fract_z
Si1 Si 0.0000 0.0000 0.0000
Si2 Si 0.2500 0.2500 0.2500
Mo1 Mo 0.2500 0.2500 0.7500
Os1 Os 0.0000 0.0000 0.5000
# ρ	9.8	g cm⁻³
# total magnetic moment	0.015	μB per formula unit
# uncorrected energy	-8.02	eV per atom